## Cs4PPd5 (GGA-PBE)

Data for Cs4PPd5 after structural relaxation.

a = 8.2901 Å, b = 8.2901 Å, c = 8.2901 Å
α = 96.57°, β = 96.57°, γ = 140.45°
Atoms (fractional coordinates):
Cs  0.0000  0.2933  0.2933
Cs  0.0000  0.7067  0.7067
Cs  0.2933  0.0000  0.2933
Cs  0.7067  0.0000  0.7067
P  0.7114  0.7114  0.0000
Pd  0.1225  0.1225  0.0000
Pd  0.3742  0.3742  0.7442
Pd  0.3742  0.6299  0.0000
Pd  0.6299  0.3742  0.0000
Pd  0.6299  0.6299  0.2558

**DFT total energy**: -35.25 eV for the cell shown